! NaGdO2, relaxed, DFT PBE-GGA; values from VASP
&SYSTEM
  ibrav = 0, nat = 16, ntyp = 3
/
ATOMIC_SPECIES
Na 22.99 Na.upf
Gd 157.25 Gd.upf
O 16.00 O.upf
CELL_PARAMETERS angstrom
3.328 -6.647 0.000
3.328 6.647 0.000
-3.276 0.000 4.973
ATOMIC_POSITIONS angstrom
Na 0.871 5.904 3.730
Na 2.509 4.255 1.243
Na 0.871 -4.255 3.730
Na 2.509 -5.904 1.243
Gd 0.871 2.570 3.730
Gd 2.509 0.898 1.243
Gd 0.871 -0.898 3.730
Gd 2.509 -2.570 1.243
O 0.850 2.501 1.421
O -0.661 0.840 3.912
O 0.977 -0.840 1.425
O -0.787 -2.501 3.908
O 4.168 2.501 1.066
O 2.403 0.840 3.548
O 4.041 -0.840 1.062
O 2.530 -2.501 3.552
! crystal system: monoclinic

***

! NaGd2OsO6, relaxed, DFT PBE-GGA; values from VASP
&SYSTEM
  ibrav = 0, nat = 20, ntyp = 4
/
ATOMIC_SPECIES
Na 22.99 Na.upf
Gd 157.25 Gd.upf
Os 190.23 Os.upf
O 16.00 O.upf
CELL_PARAMETERS angstrom
5.409 0.000 0.000
0.000 5.839 0.000
-5.210 0.000 7.856
ATOMIC_POSITIONS angstrom
Na 0.000 0.000 0.000
Na -2.605 2.919 3.928
Gd -2.695 0.435 5.850
Gd -0.090 2.485 1.922
Gd 0.289 3.354 5.935
Gd 2.894 5.404 2.006
Os 0.099 0.000 3.928
Os 2.704 2.919 0.000
O -1.531 1.019 3.485
O -4.136 1.900 7.414
O -0.794 4.172 3.310
O -3.399 4.586 7.238
O 0.795 0.364 2.109
O -1.810 2.556 6.038
O 2.008 3.283 1.819
O -0.597 5.475 5.747
O 3.597 1.253 0.618
O 0.992 1.666 4.546
O 4.334 3.939 0.443
O 1.729 4.819 4.371
! crystal system: monoclinic

***

! NaGdPO, relaxed, DFT PBE-GGA; values from VASP
&SYSTEM
  ibrav = 0, nat = 4, ntyp = 4
/
ATOMIC_SPECIES
Na 22.99 Na.upf
Gd 157.25 Gd.upf
P 30.97 P.upf
O 16.00 O.upf
CELL_PARAMETERS angstrom
3.981 0.000 0.000
0.000 3.981 0.000
0.000 0.000 4.915
ATOMIC_POSITIONS angstrom
Na 0.000 0.000 0.000
Gd 1.990 1.990 2.458
P 0.000 0.000 2.458
O 1.990 1.990 0.000
! energy relative to the lowest polymorph listed for this composition: 406 meV per atom
! crystal system: tetragonal

***

In order of appearance, calculated volume = 55.0; 124.0; 77.9 Å³/f.u..
In order of appearance, uncorrected energy = -107.6; -150.6; -21.2 eV/cell.